# Li5FeO3F, relaxed, DFT GGA-PBEsol
data_Li5FeO3F
_space_group_name_H-M_alt 'A m a 2'
_space_group_IT_number 40
_cell_length_a 6.705
_cell_length_b 7.989
_cell_length_c 7.101
_cell_angle_alpha 90.00
_cell_angle_beta 90.00
_cell_angle_gamma 90.00
loop_
_space_group_symop_operation_xyz
'x,y,z'
'-x,-y,z'
'-x+1/2,y,z'
'x+1/2,-y,z'
'x,y+1/2,z+1/2'
'-x,-y+1/2,z+1/2'
'-x+1/2,y+1/2,z+1/2'
'x+1/2,-y+1/2,z+1/2'
loop_
_atom_site_label
_atom_site_fract_x
_atom_site_fract_y
_atom_site_fract_z
_atom_site_occupancy
Li1 0.000 0.000 0.000 1
Li2 0.042 0.152 0.420 1
Li3 0.250 0.128 0.698 1
Li4 0.250 0.416 0.714 1
Fe1 0.250 0.282 0.123 1
O1 0.012 0.289 0.657 1
O2 0.250 0.486 0.973 1
F1 0.250 0.004 0.914 1
# **Relative energy among the computed polymorphs**: 61 meV per atom